1.
A plane-wave DFT calculation with PBE-GGA was carried out for an optimized crystal structure of PrY.

For the energy above the most stable polymorph in this dataset, the calculation gives 78.0 meV/atom.

Cell and atoms, written as CIF:
```
data_PrY
_chemical_formula_sum 'Pr1 Y1'
_space_group_name_H-M_alt 'P m -3 m'
_space_group_IT_number 221
_space_group_name_Hall '-P 4 2 3'
_cell_length_a 4.102
_cell_length_b 4.102
_cell_length_c 4.102
_cell_angle_alpha 90.00
_cell_angle_beta 90.00
_cell_angle_gamma 90.00
loop_
_atom_site_label
_atom_site_type_symbol
_atom_site_fract_x
_atom_site_fract_y
_atom_site_fract_z
Pr1 Pr 0.000 0.000 0.000
Y1 Y 0.500 0.500 0.500
```

=====

2.
A plane-wave DFT calculation with PBE-GGA was carried out for an optimized crystal structure of Pr5Y.

Cell and atoms, written as CIF:
```
data_Pr5Y
_chemical_formula_sum 'Pr10 Y2'
_space_group_name_H-M_alt 'C m m m'
_space_group_IT_number 65
_space_group_name_Hall '-C 2 2'
_cell_length_a 5.223
_cell_length_b 15.682
_cell_length_c 5.220
_cell_angle_alpha 90.00
_cell_angle_beta 90.00
_cell_angle_gamma 90.00
loop_
_atom_site_label
_atom_site_type_symbol
_atom_site_fract_x
_atom_site_fract_y
_atom_site_fract_z
Pr1 Pr 0.000 0.000 0.000
Pr2 Pr 0.000 0.166 0.500
Pr3 Pr 0.000 0.334 0.000
Y1 Y 0.000 0.500 0.500
```

=====

3.
A plane-wave DFT calculation with PBE-GGA was carried out for an optimized crystal structure of PrY3.

For the energy above the most stable polymorph in this dataset, the calculation gives 10.5 meV/atom.

Cell and atoms, written as CIF:
```
data_PrY3
_chemical_formula_sum 'Pr2 Y6'
_space_group_name_H-M_alt 'I 4/m m m'
_space_group_IT_number 139
_space_group_name_Hall '-I 4 2'
_cell_length_a 5.114
_cell_length_b 5.114
_cell_length_c 10.163
_cell_angle_alpha 90.00
_cell_angle_beta 90.00
_cell_angle_gamma 90.00
loop_
_atom_site_label
_atom_site_type_symbol
_atom_site_fract_x
_atom_site_fract_y
_atom_site_fract_z
Pr1 Pr 0.000 0.000 0.000
Y1 Y 0.000 0.000 0.500
Y2 Y 0.000 0.500 0.250
```

=====

4.
A plane-wave DFT calculation with PBE-GGA was carried out for an optimized crystal structure of PrY11.

Cell and atoms, written as CIF:
```
data_PrY11
_chemical_formula_sum 'Pr1 Y11'
_space_group_name_H-M_alt 'P 6/m m m'
_space_group_IT_number 191
_space_group_name_Hall '-P 6 2'
_cell_length_a 11.3356
_cell_length_b 11.3356
_cell_length_c 3.5418
_cell_angle_alpha 90.00
_cell_angle_beta 90.00
_cell_angle_gamma 120.00
loop_
_atom_site_label
_atom_site_type_symbol
_atom_site_fract_x
_atom_site_fract_y
_atom_site_fract_z
Pr1 Pr 0.0000 0.0000 0.0000
Y1 Y 0.0000 0.5000 0.0000
Y2 Y 0.1776 0.3552 0.5000
Y3 Y 0.3333 0.6667 0.0000
```

=====

Number 1: energy of formation 9.0 kJ/mol of atoms, size of the total moment 0.000 μB/cell. Number 2: energy of formation 1.2 kJ/mol of atoms, size of the total moment 0.000 μB/cell. Number 3: energy of formation 2.0 kJ/mol of atoms, size of the total moment 0.000 μB/cell. Number 4: energy of formation 3.8 kJ/mol of atoms, size of the total moment 0.000 μB/cell.